## ZrPdPb2 (PBE)

Data for crystalline ZrPdPb2 at its relaxed geometry.

abc: 10.5644 10.5644 10.5644
angles: 155.72 155.72 34.61
Last column: nearest neighbours and their distance in Å.
Fractional positions:
Zr 0.0000 0.0000 0.0000  4 Pb 2.98, 4 Pd 3.14
Zr 0.7500 0.2500 0.5000  4 Pb 2.98, 4 Pd 3.14
Pd 0.2500 0.7500 0.5000  4 Pb 2.96, 4 Zr 3.14
Pd 0.5000 0.5000 0.0000  4 Pb 2.96, 4 Zr 3.14
Pb 0.1320 0.6250 0.0070  2 Pd 2.96, 2 Zr 2.98, 4 Pb 3.10-3.19
Pb 0.3750 0.3820 0.5070  2 Pd 2.96, 2 Zr 2.98, 4 Pb 3.10-3.19
Pb 0.6180 0.1250 0.9930  2 Pd 2.96, 2 Zr 2.98, 4 Pb 3.10-3.19
Pb 0.8750 0.8680 0.4930  2 Pd 2.96, 2 Zr 2.98, 4 Pb 3.10-3.19

- E_tot: -5.1990 eV per atom
- Space-group type: I-42d, No. 122
- Polymorph energy (0 for the lowest one): 266.4 meV/atom
- N(E_F): 2.9 states/eV/f.u.
- Formation energy from the elements: 0.090 eV per atom

---

## NpPdPt (PBE)

Data for crystalline NpPdPt at its relaxed geometry.

abc: 5.5457 5.5457 5.5457
angles: 129.36 116.81 85.11
Last column: nearest neighbours and their distance in Å.
Fractional positions:
Np 0.2486 0.0000 0.2486  2 Np 2.89-2.92, 6 Pt 3.08-3.10, 6 Pd 3.09-3.10
Np 0.7514 0.0000 0.7514  2 Np 2.89-2.92, 6 Pt 3.08-3.10, 6 Pd 3.09-3.10
Pd 0.3341 0.3341 0.0000  1 Pd 2.71, 4 Pt 2.73-2.91
Pd 0.6659 0.6659 0.0000  1 Pd 2.71, 4 Pt 2.73-2.91
Pt 0.1679 0.6679 0.5000  4 Pd 2.73-2.91, 1 Pt 2.74
Pt 0.8321 0.3321 0.5000  4 Pd 2.73-2.91, 1 Pt 2.74

- E_tot: -8.4437 eV per atom
- Space-group type: Immm, No. 71
- Polymorph energy (0 for the lowest one): 36.4 meV/atom
- N(E_F): 7.8 states/eV/f.u.
- Formation energy from the elements: -0.386 eV per atom

---

## CeCoSiC (PBE)

Data for crystalline CeCoSiC at its relaxed geometry.

abc: 3.7740 3.7740 8.3081
angles: 90.00 90.00 90.00
Last column: nearest neighbours and their distance in Å.
Fractional positions:
Ce 0.2500 0.2500 0.1599  5 C 2.40-2.68
Ce 0.7500 0.7500 0.8401  5 C 2.40-2.68
Co 0.2500 0.7500 0.5000  4 Si 2.25
Co 0.7500 0.2500 0.5000  4 Si 2.25
Si 0.2500 0.2500 0.6481  1 C 1.86
Si 0.7500 0.7500 0.3519  1 C 1.86
C 0.2500 0.2500 0.8716  1 Si 1.86
C 0.7500 0.7500 0.1284  1 Si 1.86

- E_tot: -7.4357 eV per atom
- Formation energy without anion corrections: -0.51 eV per atom
- Space-group type: P4/nmm, No. 129
- N(E_F): 3.9 states/eV/f.u.

---

## Ac3Pr2Rh3 (PBE)

Data for crystalline Ac3Pr2Rh3 at its relaxed geometry.

abc: 7.2757 7.2757 14.4472
angles: 91.41 91.41 47.25
Last column: nearest neighbours and their distance in Å.
Fractional positions:
Ac 0.0000 0.0000 0.0000  3 Rh 2.88-2.92
Ac 0.0057 0.0057 0.2627  3 Rh 2.86-2.92
Ac 0.2090 0.2090 0.6330  4 Rh 2.94-3.14
Ac 0.6031 0.6031 0.8064  4 Rh 2.93-3.18
Ac 0.7017 0.7017 0.1333  4 Rh 2.95-3.08
Ac 0.9093 0.9093 0.5080  3 Rh 2.89-2.93
Pr 0.2768 0.2768 0.9444  4 Rh 2.92-3.10
Pr 0.2873 0.2873 0.3181  4 Rh 2.93-3.08
Pr 0.6263 0.6263 0.4430  4 Rh 2.92-2.99
Pr 0.8857 0.8857 0.7681  3 Rh 2.80-2.86
Rh 0.0939 0.0939 0.8200  2 Pr 2.86-2.99, 4 Ac 2.92-3.14
Rh 0.1107 0.1107 0.4393  3 Ac 2.88-3.06, 3 Pr 2.92-2.97
Rh 0.1690 0.1690 0.1316  4 Ac 2.91-2.95, 2 Pr 3.08-3.10
Rh 0.7354 0.7354 0.6262  2 Pr 2.83-2.99, 3 Ac 2.92-2.94
Rh 0.7926 0.7926 0.9393  3 Pr 2.80-2.92, 3 Ac 2.88-3.13
Rh 0.8050 0.8050 0.3268  3 Ac 2.86-3.08, 3 Pr 2.93-2.95

- E_tot: -5.9832 eV per atom
- Space-group type: Cm, No. 8
- N(E_F): 5.4 states/eV/f.u.
- Formation energy from the elements: -0.491 eV per atom

---

Number 1: V 24.90 Å³ per atom. Number 2: V 18.77 Å³ per atom. Number 3: V 14.79 Å³ per atom. Number 4: V 35.09 Å³ per atom.